Entry 1:
Below is a relaxed DyMo crystal, with properties calculated at the PBE-GGA level.

Lattice parameters (Å, degrees): 3.098 3.098 5.107 90.00 90.00 120.00
Sites, in units of the cell vectors:
Mo1 0.333 0.667 0.250
Dy1 0.667 0.333 0.750

Results
- Space-group type: No. 187
- DFT formation energy: 0.721 eV per atom
- Crystal system: hexagonal
- Distance to the lowest polymorph of the same formula: 157 meV per atom

***

Entry 2:
Below is a relaxed DyMo crystal, with properties calculated at the PBE-GGA level.

Lattice parameters (Å, degrees): 4.525 4.525 4.525 60.00 60.00 60.00
Sites, in units of the cell vectors:
Dy1 0.000 0.000 0.000
Mo1 0.250 0.250 0.250

Results
- Space-group type: No. 216
- DFT formation energy: 2.404 eV per atom
- Crystal system: cubic
- Distance to the lowest polymorph of the same formula: 1839 meV per atom

***

Entry 3:
Below is a relaxed DyMo crystal, with properties calculated at the PBE-GGA level.

Lattice parameters (Å, degrees): 4.997 4.997 4.741 90.00 90.00 120.00
Sites, in units of the cell vectors:
Mo1 0.000 0.000 0.500
Mo2 0.000 0.000 0.000
Dy1 0.333 0.667 0.750
Dy2 0.667 0.333 0.250

Results
- Space-group type: No. 194
- DFT formation energy: 0.564 eV per atom
- Crystal system: hexagonal
- Distance to the lowest polymorph of the same formula: 0 meV per atom

***

Entry 4:
Below is a relaxed Dy3Re2Mo3N12 crystal, with properties calculated at the PBE-GGA level.

Lattice parameters (Å, degrees): 10.945 10.945 10.945 109.47 109.47 109.47
Sites, in units of the cell vectors:
Mo1 0.875 0.125 0.750
Re1 0.500 0.000 0.500
N1 0.916 0.299 0.321
N2 0.179 0.479 0.595
N3 0.679 0.095 0.979
N4 0.821 0.521 0.405
N5 0.979 0.679 0.095
N6 0.201 0.116 0.021
Mo2 0.250 0.625 0.375
Mo3 0.250 0.125 0.875
N7 0.521 0.616 0.701
N8 0.405 0.821 0.521
Re2 0.000 0.000 0.000
N9 0.799 0.884 0.979
Mo4 0.125 0.750 0.875
N10 0.321 0.905 0.021
Dy1 0.625 0.250 0.875
N11 0.116 0.595 0.916
N12 0.584 0.905 0.384
N13 0.416 0.821 0.799
N14 0.321 0.916 0.299
Re3 0.500 0.500 0.500
N15 0.905 0.384 0.584
N16 0.384 0.584 0.905
N17 0.299 0.321 0.916
N18 0.916 0.116 0.595
N19 0.616 0.701 0.521
Dy2 0.375 0.125 0.250
Mo5 0.625 0.375 0.250
N20 0.179 0.201 0.584
N21 0.584 0.179 0.201
N22 0.595 0.179 0.479
N23 0.701 0.521 0.616
Dy3 0.125 0.375 0.750
N24 0.084 0.701 0.679
Re4 0.500 0.000 0.000
N25 0.821 0.799 0.416
N26 0.479 0.595 0.179
N27 0.884 0.405 0.084
N28 0.084 0.884 0.405
N29 0.416 0.095 0.616
N30 0.799 0.416 0.821
N31 0.095 0.616 0.416
Mo6 0.375 0.250 0.625
Dy4 0.750 0.125 0.375
Mo7 0.375 0.625 0.750
N32 0.701 0.679 0.084
Mo8 0.125 0.875 0.250
N33 0.201 0.584 0.179
N34 0.679 0.084 0.701
N35 0.405 0.084 0.884
Re5 0.500 0.500 0.000
N36 0.905 0.021 0.321
Dy5 0.625 0.875 0.750
Re6 0.000 0.000 0.500
N37 0.616 0.416 0.095
Dy6 0.375 0.750 0.125
N38 0.479 0.384 0.299
Dy7 0.750 0.625 0.875
Re7 0.000 0.500 0.000
Dy8 0.250 0.875 0.625
N39 0.095 0.979 0.679
Dy9 0.250 0.375 0.125
Dy10 0.125 0.250 0.375
N40 0.979 0.799 0.884
Dy11 0.875 0.750 0.625
N41 0.021 0.321 0.905
Mo9 0.750 0.875 0.125
Mo10 0.750 0.375 0.625
N42 0.595 0.916 0.116
Dy12 0.875 0.625 0.250
Re8 0.000 0.500 0.500
N43 0.299 0.479 0.384
N44 0.384 0.299 0.479
N45 0.521 0.405 0.821
N46 0.884 0.979 0.799
Mo11 0.875 0.250 0.125
N47 0.021 0.201 0.116
N48 0.116 0.021 0.201
Mo12 0.625 0.750 0.375

Results
- Space-group type: No. 230
- Crystal system: cubic

***

Entry 5:
Below is a relaxed Dy3Sb3Mo2N12 crystal, with properties calculated at the PBE-GGA level.

Lattice parameters (Å, degrees): 11.113 11.113 11.113 109.47 109.47 109.47
Sites, in units of the cell vectors:
N1 0.530 0.414 0.827
N2 0.413 0.086 0.617
Mo1 0.500 0.000 0.000
Sb1 0.625 0.375 0.250
N3 0.797 0.413 0.827
N4 0.203 0.117 0.030
N5 0.414 0.087 0.883
Dy1 0.750 0.125 0.375
Sb2 0.250 0.125 0.875
N6 0.617 0.413 0.086
N7 0.086 0.617 0.413
Sb3 0.375 0.625 0.750
Dy2 0.125 0.375 0.750
Dy3 0.625 0.875 0.750
Dy4 0.375 0.125 0.250
N8 0.203 0.587 0.173
N9 0.673 0.087 0.703
N10 0.030 0.203 0.117
Mo2 0.000 0.000 0.000
N11 0.703 0.530 0.617
Dy5 0.250 0.375 0.125
N12 0.086 0.970 0.673
N13 0.087 0.883 0.414
Dy6 0.875 0.750 0.625
N14 0.470 0.383 0.297
Sb4 0.625 0.750 0.375
N15 0.173 0.470 0.586
N16 0.883 0.414 0.087
N17 0.470 0.586 0.173
Dy7 0.750 0.625 0.875
N18 0.970 0.797 0.883
N19 0.530 0.617 0.703
N20 0.586 0.913 0.117
N21 0.586 0.173 0.470
Sb5 0.875 0.250 0.125
Dy8 0.875 0.625 0.250
N22 0.414 0.827 0.530
N23 0.587 0.914 0.383
N24 0.703 0.673 0.087
Mo3 0.000 0.000 0.500
N25 0.913 0.297 0.327
N26 0.117 0.030 0.203
N27 0.673 0.086 0.970
N28 0.297 0.470 0.383
N29 0.413 0.827 0.797
N30 0.914 0.030 0.327
Dy9 0.250 0.875 0.625
Mo4 0.500 0.000 0.500
N31 0.297 0.327 0.913
N32 0.327 0.913 0.297
N33 0.173 0.203 0.587
N34 0.827 0.530 0.414
Sb6 0.875 0.125 0.750
N35 0.914 0.383 0.587
N36 0.327 0.914 0.030
N37 0.970 0.673 0.086
Sb7 0.250 0.625 0.375
Dy10 0.375 0.750 0.125
Sb8 0.125 0.875 0.250
N38 0.827 0.797 0.413
Mo5 0.000 0.500 0.000
Mo6 0.000 0.500 0.500
Dy11 0.125 0.250 0.375
Dy12 0.625 0.250 0.875
N39 0.087 0.703 0.673
Sb9 0.125 0.750 0.875
N40 0.117 0.586 0.913
N41 0.797 0.883 0.970
N42 0.913 0.117 0.586
N43 0.617 0.703 0.530
N44 0.883 0.970 0.797
N45 0.587 0.173 0.203
N46 0.383 0.297 0.470
Mo7 0.500 0.500 0.000
Mo8 0.500 0.500 0.500
Sb10 0.375 0.250 0.625
Sb11 0.750 0.875 0.125
Sb12 0.750 0.375 0.625
N47 0.030 0.327 0.914
N48 0.383 0.587 0.914

Results
- Space-group type: No. 230
- Crystal system: cubic

***

Entry 6:
Below is a relaxed DyTmSi2Mo2N crystal, with properties calculated at the PBE-GGA level.

Lattice parameters (Å, degrees): 5.881 5.881 7.110 123.69 123.69 36.61
Sites, in units of the cell vectors:
Mo1 0.796 0.796 0.915
Mo2 0.203 0.203 0.085
Dy1 0.574 0.574 0.295
Si1 0.131 0.131 0.662
Si2 0.869 0.869 0.340
N1 0.999 0.999 0.996
Tm1 0.427 0.427 0.707

Results
- Space-group type: No. 8
- Crystal system: monoclinic

***

Entry 7:
Below is a relaxed Dy3Ta3Mo2N12 crystal, with properties calculated at the PBE-GGA level.

Lattice parameters (Å, degrees): 11.067 11.067 11.067 109.47 109.47 109.47
Sites, in units of the cell vectors:
N1 0.908 0.383 0.584
Dy1 0.875 0.750 0.625
N2 0.617 0.701 0.525
N3 0.176 0.201 0.584
N4 0.324 0.908 0.025
N5 0.416 0.824 0.799
Dy2 0.625 0.875 0.750
N6 0.092 0.975 0.676
N7 0.676 0.092 0.975
Dy3 0.250 0.375 0.125
Ta1 0.875 0.125 0.750
Ta2 0.375 0.250 0.625
N8 0.324 0.916 0.299
Mo1 0.000 0.500 0.500
N9 0.475 0.592 0.176
N10 0.092 0.617 0.416
N11 0.416 0.092 0.617
Mo2 0.500 0.000 0.500
Dy4 0.875 0.625 0.250
N12 0.592 0.916 0.117
N13 0.475 0.383 0.299
Dy5 0.375 0.750 0.125
N14 0.824 0.799 0.416
N15 0.025 0.324 0.908
N16 0.084 0.883 0.408
Ta3 0.750 0.375 0.625
N17 0.975 0.676 0.092
Ta4 0.125 0.750 0.875
Mo3 0.000 0.000 0.500
Ta5 0.625 0.750 0.375
N18 0.701 0.676 0.084
Dy6 0.125 0.375 0.750
N19 0.383 0.299 0.475
N20 0.799 0.416 0.824
Mo4 0.000 0.000 0.000
N21 0.908 0.025 0.324
Ta6 0.250 0.625 0.375
N22 0.201 0.584 0.176
Dy7 0.625 0.250 0.875
Dy8 0.375 0.125 0.250
N23 0.676 0.084 0.701
N24 0.701 0.525 0.617
N25 0.025 0.201 0.117
Dy9 0.125 0.250 0.375
N26 0.408 0.084 0.883
N27 0.084 0.701 0.676
N28 0.916 0.117 0.592
N29 0.117 0.025 0.201
N30 0.299 0.475 0.383
N31 0.117 0.592 0.916
Ta7 0.750 0.875 0.125
Dy10 0.250 0.875 0.625
N32 0.617 0.416 0.092
Ta8 0.250 0.125 0.875
N33 0.592 0.176 0.475
Mo5 0.500 0.500 0.500
Ta9 0.625 0.375 0.250
N34 0.883 0.975 0.799
N35 0.883 0.408 0.084
N36 0.201 0.117 0.025
N37 0.584 0.176 0.201
Dy11 0.750 0.625 0.875
Mo6 0.500 0.000 0.000
N38 0.584 0.908 0.383
N39 0.299 0.324 0.916
Mo7 0.500 0.500 0.000
N40 0.408 0.824 0.525
N41 0.975 0.799 0.883
N42 0.176 0.475 0.592
Ta10 0.125 0.875 0.250
N43 0.916 0.299 0.324
Mo8 0.000 0.500 0.000
N44 0.799 0.883 0.975
N45 0.525 0.408 0.824
N46 0.525 0.617 0.701
Ta11 0.875 0.250 0.125
Dy12 0.750 0.125 0.375
N47 0.824 0.525 0.408
N48 0.383 0.584 0.908
Ta12 0.375 0.625 0.750

Results
- Space-group type: No. 230
- Crystal system: cubic

***

no.,E (eV/f.u.)
1,-14.01
2,-10.64
3,-14.32
4,-183.08
5,-152.77
6,-55.50
7,-188.74